# 1
Crystalline Ga2SBr at its relaxed geometry. Source: the Alexandria database, functional PBE.

Calculated values
Space group: I-42d, No. 122
Crystal system: tetragonal
Formation energy from raw total energies in eV/atom: -0.2631
Offset from the most stable computed form in meV/atom: 0

abc: 7.229 7.229 6.479
angles: 56.09 56.09 90.00
Positions (direct):
S1 0.500 0.500 0.000
S2 0.250 0.750 0.500
Ga1 0.583 0.125 0.250
Ga2 0.167 0.625 0.250
Ga3 0.375 0.417 0.750
Ga4 0.875 0.833 0.750
Br1 0.000 0.000 0.000
Br2 0.750 0.250 0.500

# 2
Crystalline Ga2S3Br at its relaxed geometry. Source: the Alexandria database, functional PBE.

Calculated values
Space group: R-3m, No. 166
Crystal system: trigonal
Formation energy from raw total energies in eV/atom: -0.3667

abc: 7.107 7.107 7.719
angles: 62.59 62.59 60.00
Positions (direct):
Ga1 0.000 0.500 0.000
Ga2 0.500 0.500 0.000
Ga3 0.000 0.000 0.000
Ga4 0.500 0.000 0.000
S1 0.761 0.278 0.200
S2 0.239 0.722 0.800
S3 0.761 0.761 0.200
S4 0.278 0.761 0.200
S5 0.722 0.239 0.800
S6 0.239 0.239 0.800
Br1 0.758 0.758 0.725
Br2 0.242 0.242 0.275

# 3
Crystalline GaTeSBr2 at its relaxed geometry. Source: the Alexandria database, functional PBE.

Calculated values
Space group: P4/mmm, No. 123
Crystal system: tetragonal
Formation energy from raw total energies in eV/atom: 0.1520

abc: 5.216 5.378 5.216
angles: 90.00 90.00 90.00
Positions (direct):
S1 0.000 0.000 0.000
Te1 0.000 0.500 0.000
Ga1 0.500 0.500 0.500
Br1 0.000 0.000 0.500
Br2 0.500 0.000 0.000

Question: Look up the formation energy from raw total energies of the first one.
Answer: -0.2631 eV/atom